PBE Ni2BiSe, relaxed; E_form (uncorrected) = 0.048 eV/atom; offset from the most stable computed form = 0 meV/atom; spin magnetization = 0.00 μB/cell; DFT total energy = -4.6840 eV/atom
1.0
5.656 0.000 0.000
0.000 5.656 0.000
2.828 2.828 5.507
Ni Bi Se
4 2 2
Cartesian
7.070 6.780 4.130
3.952 1.414 1.377
4.242 4.533 4.130
1.705 4.242 1.377
0.000 0.000 0.000
5.656 2.828 2.753
2.828 5.656 2.753
2.828 2.828 0.000

=====

PBE CaCuAu, relaxed; offset from the most stable computed form = 9 meV/atom; spin magnetization = 0.00 μB/cell; DFT total energy = -3.5952 eV/atom; DFT formation energy = -0.47 eV per atom
1.0
4.479 0.000 0.000
-2.240 3.879 0.000
0.000 0.000 3.714
Ca Cu Au
1 1 1
Cartesian
2.240 1.293 1.237
0.000 2.586 3.097
0.000 0.000 3.094

=====

PBE LiNd4Ru2, relaxed; offset from the most stable computed form = 54 meV/atom; spin magnetization = 0.00 μB/cell; DFT total energy = -5.7484 eV/atom; DFT formation energy = -0.10 eV per atom
1.0
-3.116 -3.230 5.604
-5.126 -3.739 -3.470
8.679 -2.031 -1.491
Nd Li Ru
8 2 4
Cartesian
-0.508 -3.167 1.299
1.204 -6.273 0.898
5.324 -3.320 0.833
-2.872 -4.732 -0.821
3.195 -4.390 -1.656
-4.179 -5.019 2.491
-1.180 -4.315 4.498
2.565 -4.258 3.537
2.921 -6.039 -4.243
0.284 -4.000 -1.624
-1.489 -5.900 1.915
-5.805 -5.250 0.131
2.339 -3.341 0.813
6.097 -3.878 -2.043

=====

PBE U4GeP4, relaxed; spin magnetization = 0.00 μB/cell; DFT total energy = -8.3726 eV/atom; DFT formation energy = -0.44 eV per atom
1.0
-4.620 -2.593 0.214
3.608 -5.992 5.292
-2.347 4.756 6.986
P Ge U
8 2 8
Cartesian
-3.127 -3.976 3.341
-1.055 -3.784 9.413
-2.719 1.115 8.160
-3.983 -1.959 9.323
-1.307 1.727 5.071
-3.172 -0.532 3.118
1.700 -3.450 7.247
0.229 -4.456 4.291
0.000 0.000 0.000
-1.679 -1.914 6.246
0.999 -1.999 9.408
-0.585 0.287 2.909
-0.669 -4.663 6.802
-2.022 -5.837 4.950
-1.094 -2.202 3.337
-3.537 0.358 5.729
-5.109 -0.109 7.716
-1.416 -1.151 9.115

=====

PBE TmTiOs, relaxed; spin magnetization = 0.00 μB/cell; DFT total energy = -8.1789 eV/atom; DFT formation energy = -0.31 eV per atom
1.0
3.188 0.000 0.000
0.000 3.188 0.000
-1.594 -1.594 11.876
Tm Ti Os
2 2 2
Cartesian
0.000 0.000 10.052
1.594 1.594 1.824
0.000 0.000 6.851
1.594 1.594 5.025
0.000 0.000 3.643
1.594 1.594 8.233

=====

PBE MgZn8Pt6, relaxed; spin magnetization = 0.00 μB/cell; DFT total energy = -3.6653 eV/atom; DFT formation energy = -0.46 eV per atom
1.0
6.209 -0.038 2.694
1.753 5.956 2.694
-0.051 -0.038 6.768
Zn Pt Mg
8 6 1
Cartesian
2.932 0.671 6.881
4.979 5.208 5.275
2.114 4.694 5.467
5.688 2.614 4.147
2.649 1.969 4.071
5.261 3.911 8.085
5.796 1.186 6.688
2.222 3.266 8.008
6.942 3.577 6.131
3.680 4.235 3.325
4.230 1.644 8.830
3.408 5.616 7.444
4.502 0.263 4.711
0.968 2.303 6.025
0.000 0.000 0.000

=====

PBE CsCuReNi2, relaxed; spin magnetization = 0.00 μB/cell; DFT total energy = -4.0350 eV/atom; DFT formation energy = 1.76 eV per atom
1.0
4.580 0.000 0.000
0.000 4.580 0.000
0.000 0.000 5.969
Cu Ni Re Cs
1 2 1 1
Cartesian
2.290 2.290 2.985
2.290 0.000 0.000
0.000 2.290 0.000
0.000 0.000 0.000
0.000 0.000 2.985

=====

PBE Sm4Y2Tm5, relaxed; offset from the most stable computed form = 11 meV/atom; spin magnetization = 0.00 μB/cell; DFT total energy = -4.8111 eV/atom; DFT formation energy = 0.11 eV per atom
1.0
-2.964 1.884 -0.079
0.676 0.706 -8.539
-5.451 -11.584 6.374
Tm Y Sm
5 2 4
Cartesian
-5.756 -5.652 3.080
-1.482 0.942 -0.040
-1.983 -3.343 -5.324
-6.072 -6.366 -2.083
-1.667 -2.629 -0.160
-4.175 -3.399 -2.500
-3.563 -5.595 0.257
-5.348 -8.382 0.787
-7.679 -8.658 3.564
-2.390 -0.613 -3.031
-0.059 -0.337 -5.808

=====

PBE Ca2As3Pd4Pb, relaxed; spin magnetization = 0.00 μB/cell; DFT total energy = -4.8975 eV/atom; DFT formation energy = -0.65 eV per atom
1.0
4.335 0.000 0.000
0.000 4.335 0.000
0.000 0.000 11.007
Pd Ca Pb As
4 2 1 3
Cartesian
0.000 2.168 3.805
0.000 0.000 0.000
2.168 2.168 0.000
2.168 0.000 7.202
2.168 0.000 2.511
0.000 2.168 8.497
2.168 2.168 5.504
0.000 2.168 1.383
2.168 0.000 9.624
0.000 0.000 5.504

=====

PBE Ta2PbSe, relaxed; E_form (uncorrected) = 0.604 eV/atom; offset from the most stable computed form = 670 meV/atom; spin magnetization = 0.00 μB/cell; DFT total energy = -7.1208 eV/atom
1.0
4.174 0.000 0.000
0.000 4.174 0.000
2.087 2.087 9.923
Ta Pb Se
4 2 2
Cartesian
3.076 1.044 2.481
5.218 5.163 7.442
3.131 3.185 7.442
1.098 3.131 2.481
4.174 2.087 4.962
0.000 0.000 0.000
2.087 2.087 0.000
2.087 4.174 4.962

=====

PBE RbMg3S, relaxed; E_form (uncorrected) = 1.164 eV/atom; offset from the most stable computed form = 1102 meV/atom; spin magnetization = 1.02 μB/cell; DFT total energy = -0.8121 eV/atom
1.0
7.063 0.000 0.000
0.000 7.063 0.000
0.000 0.000 7.063
Rb Mg S
1 3 1
Cartesian
0.000 0.000 0.000
3.532 0.000 0.000
0.000 0.000 3.532
0.000 3.532 0.000
3.532 3.532 3.532

=====

PBE K4Rb2BeP2, relaxed; spin magnetization = 0.00 μB/cell; DFT total energy = -2.4960 eV/atom; DFT formation energy = -0.18 eV per atom
1.0
5.109 0.714 0.486
1.962 10.076 -0.864
1.962 2.896 9.690
Rb K Be P
2 4 1 2
Cartesian
5.981 5.162 3.512
3.051 8.525 5.800
6.078 11.058 2.135
2.955 2.629 7.177
2.955 7.641 -0.190
6.078 6.046 9.502
2.554 0.357 0.243
1.551 1.785 1.215
7.481 11.902 8.097